Entry 1:
DFT (PBE-GGA) results for PmSn4Sb after structural relaxation.

Cell: 8.737 8.737 8.737 Å, 90.00 90.00 90.00°
Space group F-43m (No. 216)
Symmetry-distinct sites (fractional):
Pm  0.000  0.000  0.000 x4
Sn  0.125  0.125  0.625 x16
Sb  0.250  0.250  0.250 x4

Properties
**Total DFT energy (no corrections)**: -4.32 eV per atom
**Uncorrected formation energy**: -0.17 eV/atom

---

Entry 2:
DFT (PBE-GGA) results for Th2ZnCu after structural relaxation.

Cell: 3.606 3.606 7.303 Å, 90.00 90.00 90.00°
Space group P4/mmm (No. 123)
Symmetry-distinct sites (fractional):
Th  0.000  0.000  0.243 x2
Zn  0.500  0.500  0.500 x1
Cu  0.500  0.500  0.000 x1

Properties
**Total DFT energy (no corrections)**: -5.17 eV per atom